[1]
VASP calculation (PBE) on Sm2Ho3Tl3 after structural relaxation.

Unit cell a=4.485 b=4.930 c=20.556 alpha=90.00 beta=90.00 gamma=90.00
Space group Immm (No. 71)
One atom of each set of equivalent atoms:
Sm1 0.000 0.000 0.240 x4
Ho1 0.000 0.000 0.000 x2
Ho2 0.000 0.500 0.117 x4
Tl1 0.000 0.000 0.500 x2
Tl2 0.000 0.500 0.375 x4

Results
Mass density (g/cm3): 10.3
Total moment (μB/f.u.): 0.0
Total energy (eV per atom): -4.026

---

[2]
VASP calculation (PBE) on BaGa2Ni3 after structural relaxation.

Unit cell a=15.708 b=4.226 c=7.602 alpha=90.00 beta=115.31 gamma=90.00
Space group C2/m (No. 12)
One atom of each set of equivalent atoms:
Ba1 0.153 0.000 0.089 x4
Ga1 0.027 0.500 0.237 x4
Ga2 0.158 0.000 0.589 x4
Ni1 0.006 0.000 0.659 x4
Ni2 0.085 0.500 0.612 x4
Ni3 0.200 0.500 0.466 x4

Results
Mass density (g/cm3): 6.6
Total moment (μB/f.u.): 0.0
Total energy (eV per atom): -4.519

---

[3]
VASP calculation (PBE) on CaSm6Cd2 after structural relaxation.

Unit cell a=13.087 b=3.764 c=12.234 alpha=90.00 beta=109.18 gamma=90.00
Space group C2/m (No. 12)
One atom of each set of equivalent atoms:
Ca1 0.000 0.000 0.000 x2
Sm1 0.015 0.000 0.341 x4
Sm2 0.190 0.500 0.586 x4
Sm3 0.192 0.500 0.873 x4
Cd1 0.142 0.500 0.210 x4

Results
Mass density (g/cm3): 6.8
Total moment (μB/f.u.): 0.0
Total energy (eV per atom): -3.701

---

[4]
VASP calculation (PBE) on ThPaTcAu after structural relaxation.

Unit cell a=7.161 b=7.161 c=7.161 alpha=90.00 beta=90.00 gamma=90.00
Space group F-43m (No. 216)
One atom of each set of equivalent atoms:
Th1 0.000 0.000 0.000 x4
Pa1 0.000 0.000 0.500 x4
Tc1 0.250 0.250 0.750 x4
Au1 0.250 0.250 0.250 x4

Results
Mass density (g/cm3): 13.7
Total moment (μB/f.u.): 0.0
Total energy (eV per atom): -7.803

---

[5]
VASP calculation (PBE) on In5Au after structural relaxation.

Unit cell a=5.5449 b=5.5449 c=5.6778 alpha=90.00 beta=90.00 gamma=120.00
Space group P-62m (No. 189)
One atom of each set of equivalent atoms:
In1 0.0000 0.6755 0.0000 x3
In2 0.3333 0.6667 0.5000 x2
Au1 0.0000 0.0000 0.5000 x1

Results
Mass density (g/cm3): 8.5
Total moment (μB/f.u.): 0.0
Energy above the most stable polymorph in this dataset (meV/atom): 43

---

[6]
VASP calculation (PBE) on Zr3Cu2Rh after structural relaxation.

Unit cell a=3.337 b=3.337 c=9.561 alpha=90.00 beta=90.00 gamma=90.00
Space group P4/mmm (No. 123)
One atom of each set of equivalent atoms:
Zr1 0.000 0.000 0.000 x1
Zr2 0.000 0.000 0.332 x2
Cu1 0.500 0.500 0.166 x2
Rh1 0.500 0.500 0.500 x1

Results
Mass density (g/cm3): 7.9
Total moment (μB/f.u.): 0.5
Energy above the most stable polymorph in this dataset (meV/atom): 10